Arrangement 1

Material: SrSiSb2Te
Method: DFT, PBE-GGA
State: relaxed

Geometry as POSCAR:
```
SrSiSb2Te
1.0
5.312 0.000 0.000
0.000 5.312 0.000
0.000 0.000 5.497
Sr Si Sb Te
1 1 2 1
Direct
0.000 0.000 0.000 Sr
0.500 0.500 0.500 Si
0.000 0.500 0.500 Sb
0.500 0.000 0.500 Sb
0.500 0.500 0.000 Te
```

## Properties
The density of states at the Fermi level comes out at 1.313 states/eV per atom. The volume comes out at 31.03 A^3/atom.

---

Arrangement 2

Material: SrSiSb2Te
Method: DFT, PBE-GGA
State: relaxed

Geometry as POSCAR:
```
SrSiSb2Te
1.0
5.982 0.000 0.000
0.000 5.982 0.000
0.000 0.000 5.982
Sr Si Sb Te
1 1 2 1
Direct
0.000 0.000 0.000 Sr
0.500 0.500 0.500 Si
0.000 0.500 0.000 Sb
0.500 0.000 0.000 Sb
0.000 0.000 0.500 Te
```

## Properties
The density of states at the Fermi level comes out at 1.187 states/eV per atom. The volume comes out at 42.82 A^3/atom.

---

Energies in eV/atom, measured from the most stable structure: arrangement 1 0.000; arrangement 2 1.152.